(w)
KTaAgAu | GGA-PBE | optimized geometry

It has space group F-43m (No. 216), with a = 7.0187 Å, b = 7.0187 Å, c = 7.0187 Å, α = 90.00°, β = 90.00° and γ = 90.00°. Symmetry generates all atoms from K at (0.0000, 0.0000, 0.0000), Ta at (0.0000, 0.0000, 0.5000), Ag at (0.2500, 0.2500, 0.7500) and Au at (0.2500, 0.2500, 0.2500).

The calculated volume comes out at 345.76 Å³ per cell.

---

(x)
KTaAgAu | GGA-PBE | optimized geometry

It has space group F-43m (No. 216), with a = 6.8150 Å, b = 6.8150 Å, c = 6.8150 Å, α = 90.00°, β = 90.00° and γ = 90.00°. Symmetry generates all atoms from K at (0.0000, 0.0000, 0.0000), Ta at (0.2500, 0.2500, 0.7500), Ag at (0.2500, 0.2500, 0.2500) and Au at (0.0000, 0.0000, 0.5000).

The calculated volume comes out at 316.52 Å³ per cell.

---

(y)
KTaAgAu | GGA-PBE | optimized geometry

It has space group F-43m (No. 216), with a = 6.8565 Å, b = 6.8565 Å, c = 6.8565 Å, α = 90.00°, β = 90.00° and γ = 90.00°. Symmetry generates all atoms from K at (0.0000, 0.0000, 0.0000), Ta at (0.2500, 0.2500, 0.7500), Ag at (0.0000, 0.0000, 0.5000) and Au at (0.2500, 0.2500, 0.2500).

The calculated volume comes out at 322.33 Å³ per cell.

---

Least stable = (y)

---

(w)
LaYAgAu | GGA-PBE | optimized geometry

It has space group F-43m (No. 216), with a = 7.4328 Å, b = 7.4328 Å, c = 7.4328 Å, α = 90.00°, β = 90.00° and γ = 90.00°. Symmetry generates all atoms from La at (0.0000, 0.0000, 0.0000), Y at (0.0000, 0.0000, 0.5000), Ag at (0.2500, 0.2500, 0.2500) and Au at (0.2500, 0.2500, 0.7500).

The calculated volume comes out at 410.63 Å³ per cell.

---

(x)
LaYAgAu | GGA-PBE | optimized geometry

It has space group F-43m (No. 216), with a = 7.1470 Å, b = 7.1470 Å, c = 7.1470 Å, α = 90.00°, β = 90.00° and γ = 90.00°. Symmetry generates all atoms from La at (0.0000, 0.0000, 0.0000), Y at (0.2500, 0.2500, 0.2500), Ag at (0.2500, 0.2500, 0.7500) and Au at (0.0000, 0.0000, 0.5000).

The calculated volume comes out at 365.07 Å³ per cell.

---

Least stable = (x)

---

(w)
LiNiAgAu | GGA-PBE | optimized geometry

It has space group F-43m (No. 216), with a = 6.1541 Å, b = 6.1541 Å, c = 6.1541 Å, α = 90.00°, β = 90.00° and γ = 90.00°. Symmetry generates all atoms from Li at (0.0000, 0.0000, 0.0000), Ni at (0.0000, 0.0000, 0.5000), Ag at (0.2500, 0.2500, 0.7500) and Au at (0.2500, 0.2500, 0.2500).

The calculated volume comes out at 233.07 Å³ per cell.

---

(x)
LiNiAgAu | GGA-PBE | optimized geometry

It has space group F-43m (No. 216), with a = 6.2471 Å, b = 6.2471 Å, c = 6.2471 Å, α = 90.00°, β = 90.00° and γ = 90.00°. Symmetry generates all atoms from Li at (0.0000, 0.0000, 0.0000), Ni at (0.2500, 0.2500, 0.2500), Ag at (0.2500, 0.2500, 0.7500) and Au at (0.0000, 0.0000, 0.5000).

The calculated volume comes out at 243.80 Å³ per cell.

---

Least stable = (x)

---

(w)
LiTaAgAu | GGA-PBE | optimized geometry

It has space group F-43m (No. 216), with a = 6.3664 Å, b = 6.3664 Å, c = 6.3664 Å, α = 90.00°, β = 90.00° and γ = 90.00°. Symmetry generates all atoms from Li at (0.0000, 0.0000, 0.0000), Ta at (0.2500, 0.2500, 0.2500), Ag at (0.0000, 0.0000, 0.5000) and Au at (0.2500, 0.2500, 0.7500).

The calculated volume comes out at 258.03 Å³ per cell.

---

(x)
LiTaAgAu | GGA-PBE | optimized geometry

It has space group F-43m (No. 216), with a = 6.4412 Å, b = 6.4412 Å, c = 6.4412 Å, α = 90.00°, β = 90.00° and γ = 90.00°. Symmetry generates all atoms from Li at (0.0000, 0.0000, 0.0000), Ta at (0.0000, 0.0000, 0.5000), Ag at (0.2500, 0.2500, 0.2500) and Au at (0.2500, 0.2500, 0.7500).

The calculated volume comes out at 267.24 Å³ per cell.

---

(y)
LiTaAgAu | GGA-PBE | optimized geometry

It has space group F-43m (No. 216), with a = 6.3828 Å, b = 6.3828 Å, c = 6.3828 Å, α = 90.00°, β = 90.00° and γ = 90.00°. Symmetry generates all atoms from Li at (0.0000, 0.0000, 0.0000), Ta at (0.2500, 0.2500, 0.2500), Ag at (0.2500, 0.2500, 0.7500) and Au at (0.0000, 0.0000, 0.5000).

The calculated volume comes out at 260.03 Å³ per cell.

---

Least stable = (w)

---

(w)
LuAgAu | GGA-PBE | optimized geometry

It has space group I4mm (No. 107), with a = 3.6678 Å, b = 3.6678 Å, c = 9.0316 Å, α = 90.00°, β = 90.00° and γ = 90.00°. Symmetry generates all atoms from Lu at (0.0000, 0.0000, 0.0000), Ag at (0.0000, 0.0000, 0.6720) and Au at (0.0000, 0.0000, 0.3411).

The calculated volume comes out at 121.50 Å³ per cell.

---

(x)
LuAgAu | GGA-PBE | optimized geometry

It has space group F-43m (No. 216), with a = 6.5907 Å, b = 6.5907 Å, c = 6.5907 Å, α = 90.00°, β = 90.00° and γ = 90.00°. Symmetry generates all atoms from Lu at (0.0000, 0.0000, 0.0000), Ag at (0.0000, 0.0000, 0.5000) and Au at (0.2500, 0.2500, 0.7500).

The calculated volume comes out at 286.28 Å³ per cell.

---

Least stable = (x)

---

(w)
YLuAgAu | GGA-PBE | optimized geometry

It has space group F-43m (No. 216), with a = 7.1544 Å, b = 7.1544 Å, c = 7.1544 Å, α = 90.00°, β = 90.00° and γ = 90.00°. Symmetry generates all atoms from Y at (0.0000, 0.0000, 0.0000), Lu at (0.0000, 0.0000, 0.5000), Ag at (0.2500, 0.2500, 0.7500) and Au at (0.2500, 0.2500, 0.2500).

The calculated volume comes out at 366.20 Å³ per cell.

---

(x)
YLuAgAu | GGA-PBE | optimized geometry

It has space group F-43m (No. 216), with a = 6.9629 Å, b = 6.9629 Å, c = 6.9629 Å, α = 90.00°, β = 90.00° and γ = 90.00°. Symmetry generates all atoms from Y at (0.0000, 0.0000, 0.0000), Lu at (0.2500, 0.2500, 0.7500), Ag at (0.2500, 0.2500, 0.2500) and Au at (0.0000, 0.0000, 0.5000).

The calculated volume comes out at 337.58 Å³ per cell.

---

Least stable = (x)

---

(w)
LuZnAgAu | GGA-PBE | optimized geometry

It has space group F-43m (No. 216), with a = 6.7346 Å, b = 6.7346 Å, c = 6.7346 Å, α = 90.00°, β = 90.00° and γ = 90.00°. Symmetry generates all atoms from Lu at (0.0000, 0.0000, 0.0000), Zn at (0.0000, 0.0000, 0.5000), Ag at (0.2500, 0.2500, 0.2500) and Au at (0.2500, 0.2500, 0.7500).

The calculated volume comes out at 305.45 Å³ per cell.

---

(x)
LuZnAgAu | GGA-PBE | optimized geometry

It has space group F-43m (No. 216), with a = 6.6960 Å, b = 6.6960 Å, c = 6.6960 Å, α = 90.00°, β = 90.00° and γ = 90.00°. Symmetry generates all atoms from Lu at (0.0000, 0.0000, 0.0000), Zn at (0.2500, 0.2500, 0.7500), Ag at (0.2500, 0.2500, 0.2500) and Au at (0.0000, 0.0000, 0.5000).

The calculated volume comes out at 300.22 Å³ per cell.

---

(y)
LuZnAgAu | GGA-PBE | optimized geometry

It has space group F-43m (No. 216), with a = 6.7433 Å, b = 6.7433 Å, c = 6.7433 Å, α = 90.00°, β = 90.00° and γ = 90.00°. Symmetry generates all atoms from Lu at (0.0000, 0.0000, 0.0000), Zn at (0.2500, 0.2500, 0.2500), Ag at (0.0000, 0.0000, 0.5000) and Au at (0.2500, 0.2500, 0.7500).

The calculated volume comes out at 306.63 Å³ per cell.

---

Least stable = (x)

---

(w)
Mg2AgAu | GGA-PBE | optimized geometry

It has space group Immm (No. 71), with a = 4.6602 Å, b = 4.6713 Å, c = 6.6214 Å, α = 90.00°, β = 90.00° and γ = 90.00°. Symmetry generates all atoms from Mg at (0.0000, 0.0000, 0.2502), Ag at (0.0000, 0.5000, 0.0000) and Au at (0.0000, 0.5000, 0.5000).

The calculated volume comes out at 144.14 Å³ per cell.

---

(x)
Mg2AgAu | GGA-PBE | optimized geometry

It has space group P4/mmm (No. 123), with a = 4.5989 Å, b = 4.5989 Å, c = 3.4211 Å, α = 90.00°, β = 90.00° and γ = 90.00°. Symmetry generates all atoms from Mg at (0.0000, 0.5000, 0.0000), Ag at (0.0000, 0.0000, 0.5000) and Au at (0.5000, 0.5000, 0.5000).

The calculated volume comes out at 72.36 Å³ per cell.

---

Least stable = (x)